VASP calculation (GGA-PBE) on a geometry-optimized ThTlCl5 structure.

a = 5.5594 Å, b = 9.1313 Å, c = 11.6253 Å
α = 90.00°, β = 90.00°, γ = 90.00°
Closest atoms and distances in Å follow each position.
Fractional positions:
Th1 0.0000 0.0000 0.0000  6 Cl 2.63-2.78
Th2 0.5000 0.5000 0.5000  6 Cl 2.63-2.78
Tl1 0.0000 0.0000 0.5000  6 Cl 3.18-3.36
Tl2 0.5000 0.5000 0.0000  6 Cl 3.18-3.36
Cl1 0.0000 0.0000 0.2265  1 Th 2.63
Cl2 0.0000 0.0000 0.7735  1 Th 2.63
Cl3 0.0000 0.2930 0.0000  1 Th 2.68
Cl4 0.0000 0.5000 0.5000  2 Th 2.78
Cl5 0.0000 0.7070 0.0000  1 Th 2.68
Cl6 0.5000 0.0000 0.0000  2 Th 2.78
Cl7 0.5000 0.2070 0.5000  1 Th 2.68
Cl8 0.5000 0.5000 0.2735  1 Th 2.63
Cl9 0.5000 0.5000 0.7265  1 Th 2.63
Cl10 0.5000 0.7930 0.5000  1 Th 2.68

Results
SG: Immm (71)
ΔE_f (raw) in eV/atom: -1.83